VASP calculation (PBE-GGA) on a relaxed Hf6BPb crystal.

Properties
Energy relative to the elements ... -0.0268 eV/atom
DOS at the Fermi energy ... 0.8646 states/eV/atom
Electronic total energy ... -8.790 eV/atom

a = 5.708 Å, b = 6.941 Å, c = 5.644 Å
α = 71.22°, β = 77.10°, γ = 52.10°
Fractional coordinates of all 8 atoms:
B (0.000, 0.000, 0.000)
Hf (0.501, 0.724, 0.899)
Hf (0.871, 0.901, 0.712)
Pb (0.500, 0.500, 0.500)
Hf (0.881, 0.717, 0.270)
Hf (0.119, 0.283, 0.730)
Hf (0.129, 0.099, 0.288)
Hf (0.499, 0.276, 0.101)